Here is Pm5SmTm3 after structural relaxation from the Alexandria database. Energies are from GGA-PBE.

abc: 9.1698 9.1698 9.7125
angles: 118.17 118.17 90.00
Atoms (fractional coordinates):
Tm  0.6110  0.1110  0.0000
Tm  0.8890  0.6110  0.0000
Tm  0.3890  0.8890  0.0000
Tm  0.1110  0.3890  0.0000
Tm  0.7500  0.7500  0.5000
Tm  0.2500  0.2500  0.5000
Pm  0.6679  0.1679  0.7365
Pm  0.5000  0.5000  0.0000
Pm  0.3321  0.8321  0.2635
Pm  0.8321  0.9314  0.2635
Pm  0.0000  0.0000  0.0000
Pm  0.9314  0.4314  0.2635
Pm  0.5686  0.6679  0.7365
Pm  0.4314  0.3321  0.2635
Pm  0.1679  0.0686  0.7365
Pm  0.0686  0.5686  0.7365
Sm  0.7500  0.2500  0.5000
Sm  0.2500  0.7500  0.5000

## Properties
* magnetic moment: 0.0 μB/f.u.
* formation energy from the elements: 2.76 eV per formula unit
* mass density: 7.5 g/cm3
* polymorph energy (0 for the lowest one): 1.59 eV/f.u.